# 1
# SrB3Pt

An optimized crystal structure of SrB3Pt (PBEsol, Alexandria via LeMat-Bulk).

Unit cell a=4.1909 b=4.1909 c=4.1909 alpha=90.00 beta=90.00 gamma=90.00
Closest atoms and distances in Å follow each position.
Atoms (fractional coordinates):
Sr 0.0000 0.0000 0.0000  12 B 2.96
B 0.0000 0.5000 0.5000  2 Pt 2.10
B 0.5000 0.0000 0.5000  2 Pt 2.10
B 0.5000 0.5000 0.0000  2 Pt 2.10
Pt 0.5000 0.5000 0.5000  6 B 2.10

formation energy	682	meV/atom
crystal system	cubic
distance to the lowest polymorph of the same formula	0.000	eV/atom

# 2
# BTe2Pt

An optimized crystal structure of BTe2Pt (PBEsol, Alexandria via LeMat-Bulk).

Unit cell a=8.1166 b=8.1166 c=8.1166 alpha=24.39 beta=24.39 gamma=24.39
Closest atoms and distances in Å follow each position.
Atoms (fractional coordinates):
B 0.0000 0.0000 0.0000  6 Te 2.44
Te 0.3941 0.3941 0.3941  3 B 2.44, 1 Pt 2.50
Te 0.6059 0.6059 0.6059  3 B 2.44, 1 Pt 2.50
Pt 0.5000 0.5000 0.5000  2 Te 2.50

crystal system	trigonal
E_form (uncorrected)	0.713	eV/atom

Q: Which Fermi-level density of states values were calculated for the entries above? A: 0.92, 0.60, in states/eV per atom.